First-principles (PBE) data for a relaxed structure of EuDy3S, as listed in Alexandria via LeMat-Bulk.

```
EuDy3S
1.0
-4.045 2.737 2.228
0.240 -3.169 4.327
3.521 3.360 2.266
Dy Eu S
3 1 1
direct
0.500 0.000 0.000
0.000 0.500 0.000
0.000 0.000 0.500
0.500 0.500 0.500
0.000 0.000 0.000
```

Properties
Total DFT energy (no corrections)   -6.25 eV per atom
DOS at the Fermi energy   2.87 states/eV per atom
Total magnetization   7.66 μB/cell
E_form (uncorrected)   -0.612 eV/atom